# 1
Computed, not measured: CoIrCl2 after structural relaxation at the PBE level of DFT.

a b c (Å): 3.131 3.674 7.311
angles (deg): 90.00 90.00 90.00
Last column: magnetic moment on the atom in μB.
Sites, in units of the cell vectors:
Ir (0.500, 0.500, 0.668)  0.70
Co (0.000, 0.000, 0.580)  1.89
Cl (0.000, 0.000, 0.900)  0.06
Cl (0.500, 0.500, 0.352)  0.05

Energy relative to the lowest polymorph listed for this composition: 1.33 eV/f.u.
Uncorrected formation energy: 0.42 eV per atom

---

# 2
Computed, not measured: CaFeTcGe2 after structural relaxation at the PBE level of DFT.

a b c (Å): 4.020 4.020 6.220
angles (deg): 108.85 108.85 90.00
Last column: magnetic moment on the atom in μB.
Sites, in units of the cell vectors:
Ca (0.000, 0.000, 0.000)  -0.01
Fe (0.750, 0.250, 0.500)  2.26
Tc (0.250, 0.750, 0.500)  0.49
Ge (0.619, 0.619, 0.239)  -0.05
Ge (0.381, 0.381, 0.761)  -0.05

Energy relative to the elements: -0.324 eV per atom

---

Ordered DFT total energy results: -17.978; -31.684; unit eV per cell.